A plane-wave DFT calculation with PBE with a Hubbard U was carried out for crystalline RhWO2 at its relaxed geometry.

Geometry as POSCAR:
```
RhWO2
1.0
-0.603 1.394 3.679
-3.445 -1.985 0.188
1.006 -5.326 4.336
W O Rh
2 4 2
direct
0.000 0.000 0.000
0.750 0.250 0.500
0.664 0.125 0.250
0.086 0.625 0.250
0.875 0.914 0.750
0.375 0.336 0.750
0.250 0.750 0.500
0.500 0.500 0.000
```

## Properties
E above lowest polymorph = 151 meV per atom
DFT total energy = -6.720 eV per atom
symmetry = No. 122
calculated volume = 12.57 A^3/atom